First-principles (PBE) data for MgPPb2 after structural relaxation, as listed in Alexandria via LeMat-Bulk.

a b c (Å): 3.714 3.714 7.288
angles (deg): 90.00 90.00 90.00
Space group P4/mmm (No. 123)
Asymmetric unit:
Mg: 0.000 0.000 0.000 x1
P: 0.000 0.000 0.500 x1
Pb: 0.500 0.500 0.276 x2

Summary:
Total energy: -3.429 eV/atom
Formation enthalpy at 0 K: 176 meV/atom
E above lowest polymorph: 0.238 eV per atom
Total magnetization: 0.0 μB per formula unit